# 1
This record from the Alexandria database describes a relaxed structure of Rb2LiCd3. The functional is PBE.

Geometry as POSCAR:
```
Rb2LiCd3
1.0
0.858 -5.709 -3.130
5.142 2.658 3.100
-3.590 0.312 5.549
Cd Li Rb
3 1 2
Direct
0.500 0.000 0.500
0.500 0.500 0.500
0.000 0.000 0.500
0.000 0.000 0.000
0.752 0.376 0.128
0.248 0.624 0.872
```

Summary:
Formation energy from the elements (eV per atom): -0.03
Space-group type: C2/m
M_tot (Bohr magnetons per cell): 0.0
DOS(E_F) (states/eV/cell): 2.951
Energy (eV for the cell shown): -6.77

# 2
This record from the Alexandria database describes a relaxed structure of RbLiCd4. The functional is PBE.

Geometry as POSCAR:
```
RbLiCd4
1.0
-3.876 -3.376 3.439
1.380 -1.238 5.900
-3.220 2.671 4.555
Cd Li Rb
4 1 1
Direct
0.627 0.120 0.627
0.627 0.627 0.627
0.120 0.627 0.627
0.627 0.627 0.120
0.000 0.000 0.000
0.250 0.250 0.250
```

Summary:
Formation energy from the elements (eV per atom): -0.04
Space-group type: F-43m
M_tot (Bohr magnetons per cell): 0.0
DOS(E_F) (states/eV/cell): 2.268
Energy (eV for the cell shown): -6.81

# 3
This record from the Alexandria database describes a relaxed structure of RbLiCd2. The functional is PBE.

Geometry as POSCAR:
```
RbLiCd2
1.0
5.824 0.000 0.000
0.000 5.824 0.000
2.912 2.912 9.581
Cd Li Rb
4 2 2
Direct
0.374 0.125 0.250
0.375 0.626 0.750
0.376 0.625 0.250
0.875 0.624 0.750
0.250 0.750 0.500
0.500 0.500 0.000
0.000 0.000 0.000
0.750 0.250 0.500
```

Summary:
Formation energy from the elements (eV per atom): 0.05
Space-group type: I-42d
M_tot (Bohr magnetons per cell): 0.0
DOS(E_F) (states/eV/cell): 1.290
Energy (eV for the cell shown): -9.06
E above lowest polymorph (kJ per mole of atoms): 10.4

# 4
This record from the Alexandria database describes a relaxed structure of RbLi3Cd. The functional is PBE.

Geometry as POSCAR:
```
RbLi3Cd
1.0
-3.014 -0.222 4.603
2.283 -4.849 1.261
4.003 2.598 2.746
Li Rb Cd
3 1 1
Direct
0.500 0.000 0.000
0.000 0.500 0.000
0.000 0.000 0.500
0.500 0.500 0.500
0.000 0.000 0.000
```

Summary:
Formation energy from the elements (eV per atom): 0.07
Space-group type: Pm-3m
M_tot (Bohr magnetons per cell): 0.0
DOS(E_F) (states/eV/cell): 2.959
Energy (eV for the cell shown): -7.25
E above lowest polymorph (kJ per mole of atoms): 0.0